Material: MnMo3F
Method: DFT, PBE+U
State: relaxed

Properties
Energy relative to the lowest polymorph listed for this composition = 247.1 meV/atom
Symmetry = Pm-3m, No. 221

a = 5.1399 Å, b = 5.1399 Å, c = 5.1399 Å
α = 90.00°, β = 90.00°, γ = 90.00°
Site moments in Bohr magnetons follow the coordinates.
Positions (direct):
Mo  0.0000  0.5000  0.0000  3.79
Mo  0.0000  0.0000  0.5000  3.78
Mo  0.5000  0.0000  0.0000  3.81
Mn  0.0000  0.0000  0.0000  -3.94
F  0.5000  0.5000  0.5000  0.10